No. 1
Material: LiNi2As2
Method: DFT, PBE-GGA
State: optimized geometry

Values from the calculation:
The value obtained for the calculated volume is 143 Å³ per cell. The value obtained for the formation energy is -0.250 eV/atom. For the total DFT energy (no corrections), the calculation gives -4.806 eV/atom. For the total magnetization, the calculation gives 0.00 μB/cell. As for the density of states at the Fermi level: 2.5 states/eV/f.u.

a = 7.025 Å, b = 7.025 Å, c = 2.888 Å
α = 90.00°, β = 90.00°, γ = 90.00°
Space group P4/mbm (No. 127)
Unique sites:
Li 0.000 0.000 0.000 (multiplicity 2)
Ni 0.128 0.372 0.000 (multiplicity 4)
As 0.166 0.666 0.500 (multiplicity 4)

---

No. 2
Material: HgBiAu
Method: DFT, PBE-GGA
State: optimized geometry

Values from the calculation:
The value obtained for the calculated volume is 147 Å³ per cell. The value obtained for the formation energy is 0.130 eV/atom. For the total DFT energy (no corrections), the calculation gives -2.357 eV/atom. For the total magnetization, the calculation gives 0.00 μB/cell. As for the density of states at the Fermi level: 1.5 states/eV/f.u.

a = 3.915 Å, b = 3.915 Å, c = 9.616 Å
α = 90.00°, β = 90.00°, γ = 90.00°
Space group I4mm (No. 107)
Unique sites:
Hg 0.000 0.000 0.000 (multiplicity 2)
Bi 0.000 0.000 0.683 (multiplicity 2)
Au 0.000 0.000 0.338 (multiplicity 2)